# 1
Ti6Ga12Fe: optimized geometry, GGA-PBE.

Output
ΔE_f: -0.323 eV per atom
DOS(E_F): 13.51 states/eV/cell
Space group: R-3, No. 148
Uncorrected energy: -98.28 eV per cell

Lattice parameters (Å, degrees): 6.762 6.762 6.762 95.23 95.23 95.23
Fractional coordinates of all 19 atoms:
Ti  0.203  0.362  0.760
Ti  0.240  0.797  0.638
Ti  0.362  0.760  0.203
Ti  0.638  0.240  0.797
Ti  0.760  0.203  0.362
Ti  0.797  0.638  0.240
Ga  0.027  0.701  0.945
Ga  0.055  0.973  0.299
Ga  0.139  0.468  0.384
Ga  0.299  0.055  0.973
Ga  0.384  0.139  0.468
Ga  0.468  0.384  0.139
Ga  0.532  0.616  0.861
Ga  0.616  0.861  0.532
Ga  0.701  0.945  0.027
Ga  0.861  0.532  0.616
Ga  0.945  0.027  0.701
Ga  0.973  0.299  0.055
Fe  0.500  0.500  0.500

=====

# 2
YLuSc2: optimized geometry, GGA-PBE.

Output
ΔE_f: 0.099 eV per atom
DOS(E_F): 6.93 states/eV/cell
Energy above the most stable polymorph in this dataset: 39 meV per atom
Space group: P4/mmm, No. 123
Uncorrected energy: -23.25 eV per cell

Lattice parameters (Å, degrees): 3.781 3.781 7.756 90.00 90.00 90.00
Fractional coordinates of all 4 atoms:
Y  0.000  0.000  0.000
Lu  0.000  0.000  0.500
Sc  0.500  0.500  0.264
Sc  0.500  0.500  0.736

=====

# 3
Tb6Ga2Ag: optimized geometry, GGA-PBE.

Output
ΔE_f: -0.147 eV per atom
DOS(E_F): 11.54 states/eV/cell
Energy above the most stable polymorph in this dataset: 187 meV per atom
Space group: Immm, No. 71
Uncorrected energy: -38.01 eV per cell

Lattice parameters (Å, degrees): 8.675 8.675 8.675 146.85 131.71 59.83
Fractional coordinates of all 9 atoms:
Tb  0.083  0.332  0.751
Tb  0.247  0.000  0.247
Tb  0.418  0.668  0.751
Tb  0.582  0.332  0.249
Tb  0.753  0.000  0.753
Tb  0.917  0.668  0.249
Ga  0.167  0.167  0.000
Ga  0.833  0.833  0.000
Ag  0.500  0.500  0.000

=====

# 4
Li3CuF4: optimized geometry, GGA-PBE.

Output
Energy above the most stable polymorph in this dataset: 22 meV per atom
Space group: P-43m, No. 215
Uncorrected energy: -36.45 eV per cell

Lattice parameters (Å, degrees): 4.505 4.505 4.505 90.00 90.00 90.00
Fractional coordinates of all 8 atoms:
Li  0.000  0.000  0.500
Li  0.000  0.500  0.000
Li  0.500  0.000  0.000
Cu  0.500  0.500  0.500
F  0.234  0.234  0.766
F  0.234  0.766  0.234
F  0.766  0.234  0.234
F  0.766  0.766  0.766